1.
VASP calculation (PBE) on K2LaOs after structural relaxation.

a = 4.3427 Å, b = 4.3533 Å, c = 6.2836 Å
α = 90.00°, β = 90.00°, γ = 90.00°
With the nearest neighbours (Å) after each atom.
Space group Pmmm (No. 47)
One atom of each set of equivalent atoms:
K (0.0000, 0.0000, 0.0000)  4 K 3.07
K (0.5000, 0.5000, 0.0000)  4 K 3.07
La (0.0000, 0.5000, 0.5000)  4 Os 3.07
Os (0.5000, 0.0000, 0.5000)  4 La 3.07

formation energy	0.867	eV per atom

2.
VASP calculation (PBE) on K2LaOs after structural relaxation.

a = 3.1292 Å, b = 3.1292 Å, c = 39.6132 Å
α = 90.00°, β = 90.00°, γ = 120.00°
With the nearest neighbours (Å) after each atom.
Space group R-3m (No. 166, hexagonal axes)
One atom of each set of equivalent atoms:
K (0.0000, 0.0000, 0.2353)  6 K 3.13, 3 Os 3.27
La (0.0000, 0.0000, 0.0000)  6 La 3.13
Os (0.0000, 0.0000, 0.5000)  6 Os 3.13, 6 K 3.27

formation energy	1.253	eV per atom

3.
VASP calculation (PBE) on K2LaOs after structural relaxation.

a = 8.0369 Å, b = 4.6282 Å, c = 9.6504 Å
α = 90.00°, β = 106.17°, γ = 90.00°
With the nearest neighbours (Å) after each atom.
Space group Cm (No. 8)
One atom of each set of equivalent atoms:
K (0.0000, 0.0000, 0.0000)  3 La 3.76-3.77, 3 Os 3.76-3.78
K (0.1900, 0.0000, 0.5719)  3 Os 3.76-3.77, 3 La 3.76-3.77
La (0.4277, 0.0000, 0.2863)  3 Os 2.67-2.68
Os (0.2611, 0.5000, 0.2864)  3 La 2.67-2.68

formation energy	0.471	eV per atom

4.
VASP calculation (PBE) on K2LaOs after structural relaxation.

a = 4.3135 Å, b = 4.3135 Å, c = 26.2167 Å
α = 90.00°, β = 90.00°, γ = 90.00°
With the nearest neighbours (Å) after each atom.
Space group I-42d (No. 122)
One atom of each set of equivalent atoms:
K (0.2380, 0.2500, 0.1250)  4 K 2.98-3.12
La (0.0000, 0.0000, 0.5000)  4 Os 3.05
Os (0.0000, 0.0000, 0.0000)  4 La 3.05

formation energy	0.915	eV per atom

5.
VASP calculation (PBE) on K2LaOs after structural relaxation.

a = 3.7641 Å, b = 6.2602 Å, c = 14.3034 Å
α = 90.00°, β = 90.00°, γ = 90.00°
With the nearest neighbours (Å) after each atom.
Space group Imm2 (No. 44)
One atom of each set of equivalent atoms:
K (0.0000, 0.0000, 0.0000)  4 Os 3.69, 4 K 3.76-3.92, 2 La 3.85
K (0.0000, 0.5000, 0.1644)  2 Os 3.45, 2 K 3.76
La (0.0000, 0.5000, 0.8437)  2 Os 2.53
Os (0.0000, 0.0000, 0.4622)  2 La 2.53

formation energy	0.607	eV per atom

6.
VASP calculation (PBE) on KLaOs2 after structural relaxation.

a = 2.9796 Å, b = 3.9203 Å, c = 9.4392 Å
α = 90.00°, β = 90.60°, γ = 90.00°
With the nearest neighbours (Å) after each atom.
Space group Pm (No. 6)
One atom of each set of equivalent atoms:
K (0.0000, 0.0000, 0.0000)  2 K 2.98
La (0.4816, 0.5000, 0.4241)  1 Os 2.81, 2 La 2.98
Os (0.4912, 0.5000, 0.7222)  4 Os 2.59, 1 La 2.81
Os (0.9877, 0.0000, 0.6372)  4 Os 2.59

formation energy	0.462	eV per atom

7.
VASP calculation (PBE) on KLa2Os after structural relaxation.

a = 7.5530 Å, b = 7.5530 Å, c = 7.5530 Å
α = 90.00°, β = 90.00°, γ = 90.00°
With the nearest neighbours (Å) after each atom.
Space group Fm-3m (No. 225)
One atom of each set of equivalent atoms:
K (0.0000, 0.0000, 0.0000)  8 La 3.27
La (0.2500, 0.2500, 0.2500)  4 K 3.27, 4 Os 3.27
Os (0.0000, 0.0000, 0.5000)  8 La 3.27

formation energy	0.463	eV per atom

8.
VASP calculation (PBE) on KLaOs2 after structural relaxation.

a = 2.8809 Å, b = 2.8809 Å, c = 10.3166 Å
α = 90.00°, β = 90.00°, γ = 90.00°
With the nearest neighbours (Å) after each atom.
Space group P4/mmm (No. 123)
One atom of each set of equivalent atoms:
K (0.0000, 0.0000, 0.0000)  4 K 2.88
La (0.0000, 0.0000, 0.5000)  4 La 2.88, 8 Os 3.14
Os (0.5000, 0.5000, 0.2681)  4 Os 2.88, 4 La 3.14

formation energy	1.154	eV per atom